The following is a DFT calculation (PBE with a Hubbard U) of Ba3HfV2O9 after structural relaxation.

Properties
The total energy is -7.73 eV per atom. The calculation puts the spin magnetization at 0.13 μB per atom.

Cell: 5.7766 5.7766 7.0087 Å, 90.00 90.00 120.00°
Space group P-3m1 (No. 164)
Symmetry-distinct sites (fractional):
1 Ba 0.0000 0.0000 0.0000 [1 per cell]
2 Ba 0.3333 0.6667 0.6731 [2 per cell]
3 Hf 0.0000 0.0000 0.5000 [1 per cell]
4 V 0.3333 0.6667 0.1631 [2 per cell]
5 O 0.0000 0.5000 0.0000 [3 per cell]
6 O 0.1706 0.3413 0.3260 [6 per cell]